(1)
# PBE AlCr2Cl, relaxed
# SG	P4mm (99)
# calculated total energy	-6.191	eV/atom
# energy relative to the elements, uncorrected	0.02	eV per atom
data_AlCr2Cl
_symmetry_space_group_name_H-M 'P 1'
_symmetry_Int_Tables_number 1
_cell_length_a 3.0452
_cell_length_b 3.0452
_cell_length_c 7.4386
_cell_angle_alpha 90.00
_cell_angle_beta 90.00
_cell_angle_gamma 90.01
loop_
_symmetry_equiv_pos_as_xyz
'x,y,z'
loop_
_atom_site_label
_atom_site_fract_x
_atom_site_fract_y
_atom_site_fract_z
_atom_site_occupancy
Cr1 0.0000 0.0000 0.0394 1
Cr2 0.5000 0.5000 0.2246 1
Al1 0.0000 0.0000 0.4087 1
Cl1 0.5000 0.5000 0.8273 1

---

(2)
# PBE SiMoRu, relaxed
# SG	Imm2 (44)
# calculated total energy	-8.704	eV/atom
# energy relative to the elements, uncorrected	-0.19	eV per atom
data_SiMoRu
_symmetry_space_group_name_H-M 'P 1'
_symmetry_Int_Tables_number 1
_cell_length_a 4.6022
_cell_length_b 4.6022
_cell_length_c 4.6022
_cell_angle_alpha 144.17
_cell_angle_beta 131.44
_cell_angle_gamma 61.80
loop_
_symmetry_equiv_pos_as_xyz
'x,y,z'
loop_
_atom_site_label
_atom_site_fract_x
_atom_site_fract_y
_atom_site_fract_z
_atom_site_occupancy
Mo1 0.0026 0.0026 0.0000 1
Si1 0.6684 0.6684 0.0000 1
Ru1 0.3290 0.3290 0.0000 1

---

(3)
# PBE TbDy2Y2Er2, relaxed
# SG	R-3m (166)
# calculated total energy	-4.987	eV/atom
data_TbDy2Y2Er2
_symmetry_space_group_name_H-M 'P 1'
_symmetry_Int_Tables_number 1
_cell_length_a 5.6477
_cell_length_b 5.6477
_cell_length_c 8.7407
_cell_angle_alpha 71.15
_cell_angle_beta 71.15
_cell_angle_gamma 60.00
loop_
_symmetry_equiv_pos_as_xyz
'x,y,z'
loop_
_atom_site_label
_atom_site_fract_x
_atom_site_fract_y
_atom_site_fract_z
_atom_site_occupancy
Y1 0.1418 0.1418 0.5746 1
Y2 0.8582 0.8582 0.4254 1
Er1 0.4284 0.4284 0.7148 1
Er2 0.5716 0.5716 0.2852 1
Tb1 0.0000 0.0000 0.0000 1
Dy1 0.7153 0.7153 0.8540 1
Dy2 0.2847 0.2847 0.1460 1

---

(4)
# PBE Cs2InHg3, relaxed
# SG	C2/c (15)
# calculated total energy	-1.077	eV/atom
data_Cs2InHg3
_symmetry_space_group_name_H-M 'P 1'
_symmetry_Int_Tables_number 1
_cell_length_a 6.3744
_cell_length_b 9.6364
_cell_length_c 9.6364
_cell_angle_alpha 63.15
_cell_angle_beta 90.05
_cell_angle_gamma 90.05
loop_
_symmetry_equiv_pos_as_xyz
'x,y,z'
loop_
_atom_site_label
_atom_site_fract_x
_atom_site_fract_y
_atom_site_fract_z
_atom_site_occupancy
In1 0.7500 0.9904 0.0096 1
In2 0.2500 0.0096 0.9904 1
Hg1 0.5004 0.8306 0.8320 1
Hg2 0.2500 0.3233 0.6767 1
Hg3 0.4996 0.1694 0.1680 1
Hg4 0.0004 0.8320 0.8306 1
Hg5 0.9996 0.1680 0.1694 1
Hg6 0.7500 0.6767 0.3233 1
Cs1 0.7508 0.4774 0.8020 1
Cs2 0.7492 0.1980 0.5226 1
Cs3 0.2508 0.8020 0.4774 1
Cs4 0.2492 0.5226 0.1980 1

---

(5)
# PBE KMn2ZnIn, relaxed
# SG	P4/mmm (123)
# calculated total energy	-2.910	eV/atom
data_KMn2ZnIn
_symmetry_space_group_name_H-M 'P 1'
_symmetry_Int_Tables_number 1
_cell_length_a 5.8699
_cell_length_b 6.1741
_cell_length_c 5.8699
_cell_angle_alpha 90.00
_cell_angle_beta 90.00
_cell_angle_gamma 90.00
loop_
_symmetry_equiv_pos_as_xyz
'x,y,z'
loop_
_atom_site_label
_atom_site_fract_x
_atom_site_fract_y
_atom_site_fract_z
_atom_site_occupancy
In1 0.0000 0.5000 0.0000 1
Mn1 0.0000 0.0000 0.5000 1
Mn2 0.5000 0.0000 0.0000 1
K1 0.0000 0.0000 0.0000 1
Zn1 0.5000 0.5000 0.5000 1

---

(6)
# PBE TbMgRu2, relaxed
# SG	P4/mmm (123)
# calculated total energy	-6.206	eV/atom
data_TbMgRu2
_symmetry_space_group_name_H-M 'P 1'
_symmetry_Int_Tables_number 1
_cell_length_a 3.4120
_cell_length_b 4.5608
_cell_length_c 4.5608
_cell_angle_alpha 90.00
_cell_angle_beta 90.00
_cell_angle_gamma 90.00
loop_
_symmetry_equiv_pos_as_xyz
'x,y,z'
loop_
_atom_site_label
_atom_site_fract_x
_atom_site_fract_y
_atom_site_fract_z
_atom_site_occupancy
Mg1 0.5000 0.0000 0.0000 1
Tb1 0.5000 0.5000 0.5000 1
Ru1 0.0000 0.0000 0.5000 1
Ru2 0.0000 0.5000 0.0000 1

---

(7)
# PBE TiNb2O, relaxed
# SG	I-42d (122)
# calculated total energy	-9.016	eV/atom
# energy relative to the elements, uncorrected	-0.77	eV per atom
data_TiNb2O
_symmetry_space_group_name_H-M 'P 1'
_symmetry_Int_Tables_number 1
_cell_length_a 7.4483
_cell_length_b 7.4483
_cell_length_c 5.7082
_cell_angle_alpha 49.28
_cell_angle_beta 49.28
_cell_angle_gamma 90.00
loop_
_symmetry_equiv_pos_as_xyz
'x,y,z'
loop_
_atom_site_label
_atom_site_fract_x
_atom_site_fract_y
_atom_site_fract_z
_atom_site_occupancy
Ti1 0.0000 0.0000 0.0000 1
Ti2 0.7500 0.2500 0.5000 1
Nb1 0.5032 0.1250 0.2500 1
Nb2 0.3750 0.4968 0.7500 1
Nb3 0.2468 0.6250 0.2500 1
Nb4 0.8750 0.7532 0.7500 1
O1 0.5000 0.5000 0.0000 1
O2 0.2500 0.7500 0.5000 1

---

(8)
# PBE Pu2BPt4, relaxed
# SG	I4/mmm (139)
# calculated total energy	-9.085	eV/atom
data_Pu2BPt4
_symmetry_space_group_name_H-M 'P 1'
_symmetry_Int_Tables_number 1
_cell_length_a 5.6564
_cell_length_b 5.6564
_cell_length_c 6.0213
_cell_angle_alpha 118.00
_cell_angle_beta 118.00
_cell_angle_gamma 89.99
loop_
_symmetry_equiv_pos_as_xyz
'x,y,z'
loop_
_atom_site_label
_atom_site_fract_x
_atom_site_fract_y
_atom_site_fract_z
_atom_site_occupancy
Pu1 0.7500 0.2500 0.5000 1
Pu2 0.2500 0.7500 0.5000 1
Pt1 0.7407 0.7407 0.0000 1
Pt2 0.7407 0.2594 0.0000 1
Pt3 0.2593 0.7406 0.0000 1
Pt4 0.2593 0.2593 0.0000 1
B1 0.0000 0.0000 0.0000 1

---

(9)
# PBE NaTlGaHg2, relaxed
# SG	P4/mmm (123)
# calculated total energy	-1.416	eV/atom
data_NaTlGaHg2
_symmetry_space_group_name_H-M 'P 1'
_symmetry_Int_Tables_number 1
_cell_length_a 5.3018
_cell_length_b 5.3018
_cell_length_c 5.6519
_cell_angle_alpha 90.00
_cell_angle_beta 90.00
_cell_angle_gamma 90.00
loop_
_symmetry_equiv_pos_as_xyz
'x,y,z'
loop_
_atom_site_label
_atom_site_fract_x
_atom_site_fract_y
_atom_site_fract_z
_atom_site_occupancy
Na1 0.5000 0.5000 0.5000 1
Ga1 0.0000 0.0000 0.0000 1
Hg1 0.5000 0.0000 0.0000 1
Hg2 0.0000 0.5000 0.0000 1
Tl1 0.0000 0.0000 0.5000 1

---

(10)
# PBE InGePb2, relaxed
# SG	P4/mmm (123)
# calculated total energy	-3.559	eV/atom
data_InGePb2
_symmetry_space_group_name_H-M 'P 1'
_symmetry_Int_Tables_number 1
_cell_length_a 3.8357
_cell_length_b 3.8357
_cell_length_c 7.5226
_cell_angle_alpha 90.00
_cell_angle_beta 90.00
_cell_angle_gamma 90.00
loop_
_symmetry_equiv_pos_as_xyz
'x,y,z'
loop_
_atom_site_label
_atom_site_fract_x
_atom_site_fract_y
_atom_site_fract_z
_atom_site_occupancy
In1 0.5000 0.5000 0.5000 1
Pb1 0.0000 0.0000 0.7779 1
Pb2 0.0000 0.0000 0.2221 1
Ge1 0.5000 0.5000 0.0000 1

---

(11)
# PBE Ga2Pd2Au3, relaxed
# SG	C2/m (12)
# calculated total energy	-4.044	eV/atom
data_Ga2Pd2Au3
_symmetry_space_group_name_H-M 'P 1'
_symmetry_Int_Tables_number 1
_cell_length_a 3.8403
_cell_length_b 5.1761
_cell_length_c 6.3001
_cell_angle_alpha 86.63
_cell_angle_beta 90.00
_cell_angle_gamma 111.78
loop_
_symmetry_equiv_pos_as_xyz
'x,y,z'
loop_
_atom_site_label
_atom_site_fract_x
_atom_site_fract_y
_atom_site_fract_z
_atom_site_occupancy
Pd1 0.5931 0.1862 0.3175 1
Pd2 0.4069 0.8138 0.6825 1
Au1 0.7034 0.4068 0.8477 1
Au2 0.0000 0.0000 0.0000 1
Au3 0.2966 0.5932 0.1523 1
Ga1 0.1295 0.2589 0.5843 1
Ga2 0.8705 0.7411 0.4157 1

---

(12)
# PBE La12Tb3Th, relaxed
# SG	P4/mmm (123)
# calculated total energy	-5.007	eV/atom
data_La12Tb3Th
_symmetry_space_group_name_H-M 'P 1'
_symmetry_Int_Tables_number 1
_cell_length_a 5.2133
_cell_length_b 5.2133
_cell_length_c 20.8431
_cell_angle_alpha 90.00
_cell_angle_beta 90.00
_cell_angle_gamma 90.00
loop_
_symmetry_equiv_pos_as_xyz
'x,y,z'
loop_
_atom_site_label
_atom_site_fract_x
_atom_site_fract_y
_atom_site_fract_z
_atom_site_occupancy
Th1 0.0000 0.0000 0.0000 1
La1 0.0000 0.5000 0.3751 1
La2 0.5000 0.5000 0.2527 1
La3 0.0000 0.5000 0.6249 1
La4 0.5000 0.5000 0.0000 1
La5 0.0000 0.5000 0.1217 1
La6 0.5000 0.0000 0.6249 1
La7 0.5000 0.0000 0.1217 1
La8 0.5000 0.0000 0.3751 1
La9 0.5000 0.5000 0.7473 1
La10 0.0000 0.5000 0.8783 1
La11 0.5000 0.5000 0.5000 1
La12 0.5000 0.0000 0.8783 1
Tb1 0.0000 0.0000 0.7487 1
Tb2 0.0000 0.0000 0.2513 1
Tb3 0.0000 0.0000 0.5000 1

---

(13)
# PBE PrNd5Tl2, relaxed
# SG	P6_3/mmc (194)
# calculated total energy	-4.222	eV/atom
data_PrNd5Tl2
_symmetry_space_group_name_H-M 'P 1'
_symmetry_Int_Tables_number 1
_cell_length_a 5.6286
_cell_length_b 5.6286
_cell_length_c 20.4412
_cell_angle_alpha 90.00
_cell_angle_beta 90.00
_cell_angle_gamma 120.00
loop_
_symmetry_equiv_pos_as_xyz
'x,y,z'
loop_
_atom_site_label
_atom_site_fract_x
_atom_site_fract_y
_atom_site_fract_z
_atom_site_occupancy
Tl1 0.3333 0.6667 0.0913 1
Tl2 0.6667 0.3333 0.5913 1
Tl3 0.6667 0.3333 0.9087 1
Tl4 0.3333 0.6667 0.4087 1
Nd1 0.3333 0.6667 0.5657 1
Nd2 0.0000 0.0000 0.6613 1
Nd3 0.3333 0.6667 0.7500 1
Nd4 0.3333 0.6667 0.9343 1
Nd5 0.6667 0.3333 0.4343 1
Nd6 0.0000 0.0000 0.1613 1
Nd7 0.6667 0.3333 0.0657 1
Nd8 0.6667 0.3333 0.2500 1
Nd9 0.0000 0.0000 0.8387 1
Nd10 0.0000 0.0000 0.3387 1
Pr1 0.6667 0.3333 0.7500 1
Pr2 0.3333 0.6667 0.2500 1